No. 1
LaFeTc4 | PBE | optimized geometry

Output
VASP energy in eV/atom: -8.700
DFT formation energy in eV per atom: 0.443
SG: F-43m
Total magnetization in μB/atom: 0.480

a = 5.329 Å, b = 5.329 Å, c = 5.329 Å
α = 60.00°, β = 60.00°, γ = 60.00°
Fractional coordinates of all 6 atoms:
La: 0.000 0.000 0.000
Fe: 0.250 0.250 0.250
Tc: 0.624 0.624 0.127
Tc: 0.624 0.127 0.624
Tc: 0.624 0.624 0.624
Tc: 0.127 0.624 0.624



No. 2
SrSn2Pt4 | PBE | optimized geometry

Output
VASP energy in eV/atom: -5.409
DFT formation energy in eV per atom: -0.573
SG: Pnma
Total magnetization in μB/atom: 0.000

a = 4.577 Å, b = 7.383 Å, c = 18.263 Å
α = 90.00°, β = 90.00°, γ = 90.00°
Fractional coordinates of all 28 atoms:
Sr: 0.750 0.136 0.635
Sr: 0.250 0.864 0.365
Sr: 0.250 0.636 0.865
Sr: 0.750 0.364 0.135
Sn: 0.250 0.748 0.556
Sn: 0.750 0.252 0.444
Sn: 0.750 0.248 0.944
Sn: 0.250 0.752 0.056
Sn: 0.250 0.097 0.808
Sn: 0.750 0.903 0.192
Sn: 0.750 0.597 0.692
Sn: 0.250 0.403 0.308
Pt: 0.250 0.408 0.724
Pt: 0.750 0.592 0.276
Pt: 0.750 0.908 0.776
Pt: 0.250 0.092 0.224
Pt: 0.250 0.805 0.701
Pt: 0.750 0.195 0.299
Pt: 0.750 0.305 0.799
Pt: 0.250 0.695 0.201
Pt: 0.250 0.101 0.506
Pt: 0.750 0.899 0.494
Pt: 0.750 0.601 0.994
Pt: 0.250 0.399 0.006
Pt: 0.250 0.454 0.459
Pt: 0.750 0.546 0.541
Pt: 0.750 0.954 0.041
Pt: 0.250 0.046 0.959